Density functional theory data (PBE-GGA) for a relaxed structure of Cd3MoSe.

The structure in CIF format:
```
data_Cd3MoSe
_chemical_formula_sum 'Cd3 Mo1 Se1'
_cell_length_a 5.420
_cell_length_b 5.420
_cell_length_c 5.420
_cell_angle_alpha 90.00
_cell_angle_beta 90.00
_cell_angle_gamma 90.00
_symmetry_space_group_name_H-M 'P 1'
_symmetry_Int_Tables_number 1
loop_
_symmetry_equiv_pos_as_xyz
'x,y,z'
loop_
_atom_site_label
_atom_site_type_symbol
_atom_site_fract_x
_atom_site_fract_y
_atom_site_fract_z
Cd1 Cd 0.000 0.000 0.500
Cd2 Cd 0.000 0.500 0.000
Cd3 Cd 0.500 0.000 0.000
Mo1 Mo 0.000 0.000 0.000
Se1 Se 0.500 0.500 0.500
```

Summary:
- calculated density (Mg/m³) = 5.3
- VASP energy (eV per atom) = -2.34